# PBE MoOs2I2, relaxed
# - formation energy without anion corrections (eV per atom) = 1.35
data_MoOs2I2
_cell_length_a 3.437
_cell_length_b 3.437
_cell_length_c 20.038
_cell_angle_alpha 90.00
_cell_angle_beta 90.00
_cell_angle_gamma 90.00
_symmetry_space_group_name_H-M 'I 4/m m m'
_symmetry_Int_Tables_number 139
_symmetry_space_group_name_Hall '-I 4 2'
loop_
_atom_site_label
_atom_site_type_symbol
_atom_site_fract_x
_atom_site_fract_y
_atom_site_fract_z
Mo1 Mo 0.000 0.000 0.000
Os1 Os 0.000 0.500 0.250
I1 I 0.000 0.000 0.415